--- P ---
A plane-wave DFT calculation with GGA-PBE was carried out for a geometry-optimized LiScInNi structure.

Unit cell a=4.5519 b=4.5519 c=4.5519 alpha=60.00 beta=60.00 gamma=60.00
Fractional positions:
Li: 0.0000 0.0000 0.0000
Sc: 0.7500 0.7500 0.7500
In: 0.5000 0.5000 0.5000
Ni: 0.2500 0.2500 0.2500

Values from the calculation:
Space group: F-43m (216)
Crystal system: cubic
Volume, Å³/cell: 66.7

--- Q ---
A plane-wave DFT calculation with GGA-PBE was carried out for a geometry-optimized LiScInNi structure.

Unit cell a=4.4968 b=4.4968 c=4.4968 alpha=60.00 beta=60.00 gamma=60.00
Fractional positions:
Li: 0.0000 0.0000 0.0000
Sc: 0.7500 0.7500 0.7500
In: 0.2500 0.2500 0.2500
Ni: 0.5000 0.5000 0.5000

Values from the calculation:
Space group: F-43m (216)
Crystal system: cubic
Volume, Å³/cell: 64.3

--- R ---
A plane-wave DFT calculation with GGA-PBE was carried out for a geometry-optimized LiScInNi structure.

Unit cell a=4.5846 b=4.5846 c=4.5846 alpha=60.00 beta=60.00 gamma=60.00
Fractional positions:
Li: 0.0000 0.0000 0.0000
Sc: 0.5000 0.5000 0.5000
In: 0.2500 0.2500 0.2500
Ni: 0.7500 0.7500 0.7500

Values from the calculation:
Space group: F-43m (216)
Crystal system: cubic
Volume, Å³/cell: 68.1

Tell me which of them is the least stable. Sure, it is P.

--- P ---
A plane-wave DFT calculation with GGA-PBE was carried out for a geometry-optimized LiInNiSn structure.

Unit cell a=4.6853 b=4.6853 c=4.6853 alpha=60.00 beta=60.00 gamma=60.00
Fractional positions:
Li: 0.0000 0.0000 0.0000
In: 0.7500 0.7500 0.7500
Ni: 0.2500 0.2500 0.2500
Sn: 0.5000 0.5000 0.5000

Values from the calculation:
Space group: F-43m (216)
Crystal system: cubic
Volume, Å³/cell: 72.7

--- Q ---
A plane-wave DFT calculation with GGA-PBE was carried out for a geometry-optimized LiInNiSn structure.

Unit cell a=4.5779 b=4.5779 c=4.5779 alpha=60.00 beta=60.00 gamma=60.00
Fractional positions:
Li: 0.0000 0.0000 0.0000
In: 0.2500 0.2500 0.2500
Ni: 0.5000 0.5000 0.5000
Sn: 0.7500 0.7500 0.7500

Values from the calculation:
Space group: F-43m (216)
Crystal system: cubic
Volume, Å³/cell: 67.8

Tell me which of them is the least stable. Sure, it is P.

--- P ---
A plane-wave DFT calculation with GGA-PBE was carried out for a geometry-optimized LiTaInNi structure.

Unit cell a=4.4698 b=4.4698 c=4.4698 alpha=60.00 beta=60.00 gamma=60.00
Fractional positions:
Li: 0.0000 0.0000 0.0000
Ta: 0.2500 0.2500 0.2500
In: 0.5000 0.5000 0.5000
Ni: 0.7500 0.7500 0.7500

Values from the calculation:
Space group: F-43m (216)
Crystal system: cubic
Volume, Å³/cell: 63.1

--- Q ---
A plane-wave DFT calculation with GGA-PBE was carried out for a geometry-optimized LiTaInNi structure.

Unit cell a=4.3785 b=4.3785 c=4.3785 alpha=60.00 beta=60.00 gamma=60.00
Fractional positions:
Li: 0.0000 0.0000 0.0000
Ta: 0.7500 0.7500 0.7500
In: 0.2500 0.2500 0.2500
Ni: 0.5000 0.5000 0.5000

Values from the calculation:
Space group: F-43m (216)
Crystal system: cubic
Volume, Å³/cell: 59.4

Tell me which of them is the least stable. Sure, it is P.

--- P ---
A plane-wave DFT calculation with GGA-PBE was carried out for a geometry-optimized LiInTcNi structure.

Unit cell a=4.3338 b=4.3338 c=4.3338 alpha=60.00 beta=60.00 gamma=60.00
Fractional positions:
Li: 0.0000 0.0000 0.0000
In: 0.2500 0.2500 0.2500
Tc: 0.7500 0.7500 0.7500
Ni: 0.5000 0.5000 0.5000

Values from the calculation:
Space group: F-43m (216)
Crystal system: cubic
Volume, Å³/cell: 57.6

--- Q ---
A plane-wave DFT calculation with GGA-PBE was carried out for a geometry-optimized LiInTcNi structure.

Unit cell a=4.3935 b=4.3935 c=4.3935 alpha=60.00 beta=60.00 gamma=60.00
Fractional positions:
Li: 0.0000 0.0000 0.0000
In: 0.5000 0.5000 0.5000
Tc: 0.2500 0.2500 0.2500
Ni: 0.7500 0.7500 0.7500

Values from the calculation:
Space group: F-43m (216)
Crystal system: cubic
Volume, Å³/cell: 60.0

Tell me which of them is the least stable. Sure, it is Q.

--- P ---
A plane-wave DFT calculation with GGA-PBE was carried out for a geometry-optimized LiPaIn structure.

Unit cell a=5.5176 b=5.5176 c=2.8935 alpha=90.00 beta=90.00 gamma=120.00
Fractional positions:
Li: 0.0000 0.0000 0.0000
Pa: 0.3333 0.6667 0.0000
In: 0.6667 0.3333 0.0000

Values from the calculation:
Space group: P-6m2 (187)
Crystal system: hexagonal
Volume, Å³/cell: 76.3

--- Q ---
A plane-wave DFT calculation with GGA-PBE was carried out for a geometry-optimized LiPaIn structure.

Unit cell a=4.9368 b=4.9368 c=4.9368 alpha=60.00 beta=60.00 gamma=60.00
Fractional positions:
Li: 0.0000 0.0000 0.0000
Pa: 0.5000 0.5000 0.5000
In: 0.2500 0.2500 0.2500

Values from the calculation:
Space group: F-43m (216)
Crystal system: cubic
Volume, Å³/cell: 85.1

--- R ---
A plane-wave DFT calculation with GGA-PBE was carried out for a geometry-optimized LiPaIn structure.

Unit cell a=5.0139 b=5.0139 c=5.0139 alpha=60.00 beta=60.00 gamma=60.00
Fractional positions:
Li: 0.0000 0.0000 0.0000
Pa: 0.7500 0.7500 0.7500
In: 0.5000 0.5000 0.5000

Values from the calculation:
Space group: F-43m (216)
Crystal system: cubic
Volume, Å³/cell: 89.1

Tell me which of them is the least stable. Sure, it is R.

--- P ---
A plane-wave DFT calculation with GGA-PBE was carried out for a geometry-optimized LiIn2Pd structure.

Unit cell a=4.5006 b=4.5006 c=3.6307 alpha=90.00 beta=90.00 gamma=90.00
Fractional positions:
Li: 0.0000 0.0000 0.0000
In: 0.0000 0.5000 0.5000
In: 0.5000 0.0000 0.5000
Pd: 0.5000 0.5000 0.0000

Values from the calculation:
Space group: P4/mmm (123)
Crystal system: tetragonal
Volume, Å³/cell: 73.5

--- Q ---
A plane-wave DFT calculation with GGA-PBE was carried out for a geometry-optimized LiIn2Pd structure.

Unit cell a=4.6805 b=6.6303 c=4.6805 alpha=90.00 beta=90.00 gamma=90.00
Fractional positions:
Li: 0.2500 0.2500 0.2491
Li: 0.7500 0.7500 0.7509
In: 0.2500 0.9999 0.7495
In: 0.2500 0.5001 0.7495
In: 0.7500 0.0001 0.2505
In: 0.7500 0.4999 0.2505
Pd: 0.2500 0.7500 0.2493
Pd: 0.7500 0.2500 0.7507

Values from the calculation:
Space group: Pmmn (59)
Crystal system: orthorhombic
Volume, Å³/cell: 145.3

--- R ---
A plane-wave DFT calculation with GGA-PBE was carried out for a geometry-optimized LiIn2Pd structure.

Unit cell a=3.4174 b=3.4174 c=6.2711 alpha=90.00 beta=90.00 gamma=90.00
Fractional positions:
Li: 0.0000 0.0000 0.0000
In: 0.5000 0.5000 0.2535
In: 0.5000 0.5000 0.7465
Pd: 0.0000 0.0000 0.5000

Values from the calculation:
Space group: P4/mmm (123)
Crystal system: tetragonal
Volume, Å³/cell: 73.2

Tell me which of them is the least stable. Sure, it is P.

--- P ---
A plane-wave DFT calculation with GGA-PBE was carried out for a geometry-optimized LiIn2Pd structure.

Unit cell a=7.2908 b=6.3269 c=6.3852 alpha=90.00 beta=90.00 gamma=90.00
Fractional positions:
Li: 0.0003 0.2500 0.2267
Li: 0.9997 0.7500 0.7733
Li: 0.5003 0.2500 0.2733
Li: 0.4997 0.7500 0.7267
In: 0.2372 0.0000 0.4996
In: 0.2372 0.5000 0.4996
In: 0.2628 0.0000 0.9996
In: 0.2628 0.5000 0.9996
In: 0.7372 0.0000 0.0004
In: 0.7372 0.5000 0.0004
In: 0.7628 0.0000 0.5004
In: 0.7628 0.5000 0.5004
Pd: 0.0007 0.2500 0.7645
Pd: 0.4993 0.7500 0.2645
Pd: 0.5007 0.2500 0.7355
Pd: 0.9993 0.7500 0.2355

Values from the calculation:
Space group: Pnma (62)
Crystal system: orthorhombic
Volume, Å³/cell: 294.5

--- Q ---
A plane-wave DFT calculation with GGA-PBE was carried out for a geometry-optimized LiIn2Pd structure.

Unit cell a=4.7032 b=4.7032 c=4.7032 alpha=120.48 beta=120.48 gamma=89.17
Fractional positions:
Li: 0.0000 0.0000 0.0000
In: 0.2500 0.7500 0.5000
In: 0.7500 0.2500 0.5000
Pd: 0.5000 0.5000 0.0000

Values from the calculation:
Space group: I4/mmm (139)
Crystal system: tetragonal
Volume, Å³/cell: 73.0

Tell me which of them is the least stable. Sure, it is P.

--- P ---
A plane-wave DFT calculation with GGA-PBE was carried out for a geometry-optimized LiInSiPt structure.

Unit cell a=4.4865 b=4.4865 c=4.4865 alpha=60.00 beta=60.00 gamma=60.00
Fractional positions:
Li: 0.0000 0.0000 0.0000
In: 0.7500 0.7500 0.7500
Si: 0.5000 0.5000 0.5000
Pt: 0.2500 0.2500 0.2500

Values from the calculation:
Space group: F-43m (216)
Crystal system: cubic
Volume, Å³/cell: 63.9

--- Q ---
A plane-wave DFT calculation with GGA-PBE was carried out for a geometry-optimized LiInSiPt structure.

Unit cell a=4.4992 b=4.4992 c=4.4992 alpha=60.00 beta=60.00 gamma=60.00
Fractional positions:
Li: 0.0000 0.0000 0.0000
In: 0.2500 0.2500 0.2500
Si: 0.7500 0.7500 0.7500
Pt: 0.5000 0.5000 0.5000

Values from the calculation:
Space group: F-43m (216)
Crystal system: cubic
Volume, Å³/cell: 64.4

Tell me which of them is the least stable. Sure, it is P.

--- P ---
A plane-wave DFT calculation with GGA-PBE was carried out for a geometry-optimized LuMgInSe3 structure.

Unit cell a=14.5344 b=4.1525 c=11.2371 alpha=90.00 beta=90.00 gamma=90.00
Fractional positions:
Lu: 0.0262 0.2500 0.1507
Lu: 0.4738 0.7500 0.6507
Lu: 0.5262 0.2500 0.3493
Lu: 0.9738 0.7500 0.8493
Mg: 0.0276 0.7500 0.4003
Mg: 0.4724 0.2500 0.9003
Mg: 0.5276 0.7500 0.0997
Mg: 0.9724 0.2500 0.5997
In: 0.2475 0.2500 0.4568
In: 0.2525 0.7500 0.9568
In: 0.7475 0.2500 0.0432
In: 0.7525 0.7500 0.5432
Se: 0.0773 0.7500 0.6248
Se: 0.0976 0.2500 0.9219
Se: 0.1434 0.7500 0.2285
Se: 0.3566 0.2500 0.7285
Se: 0.4024 0.7500 0.4219
Se: 0.4227 0.2500 0.1248
Se: 0.5773 0.7500 0.8752
Se: 0.5976 0.2500 0.5781
Se: 0.6434 0.7500 0.2715
Se: 0.8566 0.2500 0.7715
Se: 0.9024 0.7500 0.0781
Se: 0.9227 0.2500 0.3752

Values from the calculation:
Space group: Pnma (62)
Crystal system: orthorhombic
Volume, Å³/cell: 678.2

--- Q ---
A plane-wave DFT calculation with GGA-PBE was carried out for a geometry-optimized LuMgInSe3 structure.

Unit cell a=7.5487 b=7.5487 c=10.9670 alpha=90.00 beta=90.00 gamma=148.06
Fractional positions:
Lu: 0.0000 0.0000 0.0000
Lu: 0.0000 0.0000 0.5000
Mg: 0.4608 0.5392 0.7500
Mg: 0.5392 0.4608 0.2500
In: 0.2511 0.7489 0.2500
In: 0.7489 0.2511 0.7500
Se: 0.0674 0.9326 0.7500
Se: 0.3721 0.6279 0.5512
Se: 0.3721 0.6279 0.9488
Se: 0.6279 0.3721 0.0512
Se: 0.6279 0.3721 0.4488
Se: 0.9326 0.0674 0.2500

Values from the calculation:
Space group: Cmcm (63)
Crystal system: orthorhombic
Volume, Å³/cell: 330.6

Tell me which of them is the least stable. Sure, it is Q.

--- P ---
A plane-wave DFT calculation with GGA-PBE was carried out for a geometry-optimized LuInMo structure.

Unit cell a=4.7589 b=4.7589 c=4.7589 alpha=60.00 beta=60.00 gamma=60.00
Fractional positions:
Lu: 0.0000 0.0000 0.0000
In: 0.5000 0.5000 0.5000
Mo: 0.7500 0.7500 0.7500

Values from the calculation:
Space group: F-43m (216)
Crystal system: cubic
Volume, Å³/cell: 76.2

--- Q ---
A plane-wave DFT calculation with GGA-PBE was carried out for a geometry-optimized LuInMo structure.

Unit cell a=4.8316 b=4.8316 c=4.8316 alpha=60.00 beta=60.00 gamma=60.00
Fractional positions:
Lu: 0.0000 0.0000 0.0000
In: 0.7500 0.7500 0.7500
Mo: 0.2500 0.2500 0.2500

Values from the calculation:
Space group: F-43m (216)
Crystal system: cubic
Volume, Å³/cell: 79.8

Tell me which of them is the least stable. Sure, it is Q.

--- P ---
A plane-wave DFT calculation with GGA-PBE was carried out for a geometry-optimized LuInNiMo structure.

Unit cell a=4.6896 b=4.6896 c=4.6896 alpha=60.00 beta=60.00 gamma=60.00
Fractional positions:
Lu: 0.0000 0.0000 0.0000
In: 0.5000 0.5000 0.5000
Ni: 0.7500 0.7500 0.7500
Mo: 0.2500 0.2500 0.2500

Values from the calculation:
Space group: F-43m (216)
Crystal system: cubic
Volume, Å³/cell: 72.9

--- Q ---
A plane-wave DFT calculation with GGA-PBE was carried out for a geometry-optimized LuInNiMo structure.

Unit cell a=4.7411 b=4.7411 c=4.7411 alpha=60.00 beta=60.00 gamma=60.00
Fractional positions:
Lu: 0.0000 0.0000 0.0000
In: 0.2500 0.2500 0.2500
Ni: 0.5000 0.5000 0.5000
Mo: 0.7500 0.7500 0.7500

Values from the calculation:
Space group: F-43m (216)
Crystal system: cubic
Volume, Å³/cell: 75.4

Tell me which of them is the least stable. Sure, it is Q.

--- P ---
A plane-wave DFT calculation with GGA-PBE was carried out for a geometry-optimized LuNbIn structure.

Unit cell a=4.8632 b=4.8632 c=4.8632 alpha=60.00 beta=60.00 gamma=60.00
Fractional positions:
Lu: 0.0000 0.0000 0.0000
Nb: 0.7500 0.7500 0.7500
In: 0.5000 0.5000 0.5000

Values from the calculation:
Space group: F-43m (216)
Crystal system: cubic
Volume, Å³/cell: 81.3

--- Q ---
A plane-wave DFT calculation with GGA-PBE was carried out for a geometry-optimized LuNbIn structure.

Unit cell a=4.9010 b=4.9010 c=4.9010 alpha=60.00 beta=60.00 gamma=60.00
Fractional positions:
Lu: 0.0000 0.0000 0.0000
Nb: 0.2500 0.2500 0.2500
In: 0.7500 0.7500 0.7500

Values from the calculation:
Space group: F-43m (216)
Crystal system: cubic
Volume, Å³/cell: 83.2

Tell me which of them is the least stable. Sure, it is Q.